A geometry-optimized LiHg3PdO4 structure, computed with GGA-PBE.

POSCAR file:
```
LiHg3PdO4
1.0
-3.479 0.553 3.943
2.579 -3.675 2.792
3.033 3.760 2.149
Hg Li O Pd
3 1 4 1
direct
0.500 0.500 0.000
0.500 0.000 0.500
0.000 0.500 0.500
0.000 0.000 0.000
0.226 0.226 0.226
0.774 0.774 0.226
0.774 0.226 0.774
0.226 0.774 0.774
0.500 0.500 0.500
```

A geometry-optimized NdErAsO structure, computed with GGA-PBE.

POSCAR file:
```
NdErAsO
1.0
4.156 0.000 0.000
0.000 7.982 0.000
0.000 0.000 5.640
As Er Nd O
2 2 2 2
direct
0.000 0.361 0.436
0.000 0.639 0.936
0.000 0.713 0.440
0.000 0.287 0.940
0.500 0.125 0.472
0.500 0.875 0.972
0.500 0.823 0.407
0.500 0.177 0.907
```

## Properties
**Energy above the most stable polymorph in this dataset**: 69 meV per atom

A geometry-optimized Rb2TeAuBr6 structure, computed with GGA-PBE.

POSCAR file:
```
Rb2TeAuBr6
1.0
5.830 -1.006 5.240
2.110 5.950 4.754
-1.643 -0.339 7.723
Au Br Rb Te
1 6 2 1
direct
0.500 0.500 0.500
0.746 0.254 0.254
0.254 0.746 0.254
0.746 0.746 0.254
0.254 0.254 0.746
0.746 0.254 0.746
0.254 0.746 0.746
0.250 0.250 0.250
0.750 0.750 0.750
0.000 0.000 0.000
```

A geometry-optimized GdEr2Hg5 structure, computed with GGA-PBE.

POSCAR file:
```
GdEr2Hg5
1.0
5.097 0.000 0.000
0.000 3.725 5.149
0.000 -3.725 5.149
Er Gd Hg
2 1 5
direct
0.000 0.340 0.340
0.500 0.632 0.632
0.000 0.899 0.899
0.500 0.126 0.126
0.500 0.623 0.141
0.000 0.839 0.400
0.500 0.141 0.623
0.000 0.400 0.839
```

A geometry-optimized LaTlPd4 structure, computed with GGA-PBE.

POSCAR file:
```
LaTlPd4
1.0
0.000 3.873 3.873
3.873 0.000 3.873
3.873 3.873 0.000
La Pd Tl
1 4 1
direct
0.250 0.250 0.250
0.625 0.625 0.124
0.625 0.124 0.625
0.124 0.625 0.625
0.625 0.625 0.625
0.000 0.000 0.000
```

A geometry-optimized LiNbTe structure, computed with GGA-PBE.

POSCAR file:
```
LiNbTe
1.0
-0.233 1.899 4.160
-1.155 4.409 0.443
-4.066 1.134 1.774
Li Nb Te
1 1 1
direct
0.500 0.500 0.500
0.250 0.250 0.250
0.000 0.000 0.000
```

## Properties
**Energy above the most stable polymorph in this dataset**: 191 meV per atom

A geometry-optimized KReAgS3 structure, computed with GGA-PBE.

POSCAR file:
```
KReAgS3
1.0
7.275 -1.844 0.000
7.275 1.844 0.000
0.000 0.000 9.806
Ag K Re S
2 2 2 6
direct
0.062 0.062 0.250
0.938 0.938 0.750
0.758 0.758 0.250
0.242 0.242 0.750
0.500 0.500 0.000
0.500 0.500 0.500
0.114 0.114 0.017
0.440 0.440 0.250
0.114 0.114 0.483
0.886 0.886 0.517
0.560 0.560 0.750
0.886 0.886 0.983
```

A geometry-optimized Tl2PtBrCl3 structure, computed with GGA-PBE.

POSCAR file:
```
Tl2PtBrCl3
1.0
4.291 0.000 0.000
0.000 5.226 5.058
0.000 -5.226 5.058
Br Cl Pt Tl
1 3 1 2
direct
0.000 0.240 0.240
0.000 0.776 0.220
0.000 0.768 0.768
0.000 0.220 0.776
0.000 0.998 0.998
0.500 0.990 0.507
0.500 0.507 0.990
```

no.,total DFT energy (no corrections) (eV/atom)
1,-3.196
2,-6.639
3,-2.666
4,-2.326
5,-5.302
6,-4.726
7,-5.016
8,-3.312